No. 1
Ti2CuAg2S6 after structural relaxation, computed with PBE.

Calculated values
space group = C2/m, No. 12
DFT total energy = -5.236 eV/atom
total magnetic moment = 0.0 μB/f.u.
formation energy without anion corrections = -658 meV per atom

Unit cell a=6.1624 b=6.1624 c=8.2498 alpha=108.67 beta=108.67 gamma=119.85
With the nearest neighbours (Å) after each atom.
Element x y z (fractional)
Ag1 0.1523 0.8477 0.0000  4 S 2.61-2.68
Ag2 0.8477 0.1523 0.0000  4 S 2.61-2.68
S1 0.8426 0.8426 0.6942  1 Cu 2.35, 2 Ti 2.55, 2 Ag 2.61
S2 0.1574 0.1574 0.3058  1 Cu 2.35, 2 Ti 2.55, 2 Ag 2.61
S3 0.2005 0.5378 0.7231  2 Ti 2.39-2.44, 1 Cu 2.54, 1 Ag 2.68
S4 0.5378 0.2005 0.7231  2 Ti 2.39-2.44, 1 Cu 2.54, 1 Ag 2.68
S5 0.4622 0.7995 0.2769  2 Ti 2.39-2.44, 1 Cu 2.54, 1 Ag 2.68
S6 0.7995 0.4622 0.2769  2 Ti 2.39-2.44, 1 Cu 2.54, 1 Ag 2.68
Ti1 0.6830 0.3170 0.5000  6 S 2.39-2.55
Ti2 0.3170 0.6830 0.5000  6 S 2.39-2.55
Cu1 0.0000 0.0000 0.5000  6 S 2.35-2.54

No. 2
LaDy5Tm4 after structural relaxation, computed with PBE.

Calculated values
ΔE_f = 7.1 kcal/mol of atoms
space group = I4, No. 79
DFT total energy = -4.273 eV/atom
total magnetic moment = 0.0 μB/f.u.

Unit cell a=6.2914 b=7.8355 c=7.8355 alpha=80.72 beta=66.33 gamma=66.33
With the nearest neighbours (Å) after each atom.
Element x y z (fractional)
La1 0.2234 0.0000 0.0000  1 Dy 2.88
Dy1 0.7120 0.0920 0.3798  4 Tm 3.21-3.52, 1 Dy 3.27, 1 La 3.30
Dy2 0.0917 0.6202 0.0920  4 Tm 3.21-3.52, 1 Dy 3.27, 1 La 3.30
Dy3 0.8039 0.3798 0.9080  4 Tm 3.21-3.52, 1 Dy 3.27, 1 La 3.30
Dy4 0.1837 0.9080 0.6202  4 Tm 3.21-3.52, 1 Dy 3.27, 1 La 3.30
Dy5 0.6804 0.0000 0.0000  1 La 2.88
Tm1 0.1028 0.2986 0.4035  1 Tm 3.21, 4 Dy 3.21-3.52
Tm2 0.5062 0.5965 0.2986  1 Tm 3.21, 4 Dy 3.21-3.52
Tm3 0.8049 0.7014 0.5965  1 Tm 3.21, 4 Dy 3.21-3.52
Tm4 0.4014 0.4035 0.7014  1 Tm 3.21, 4 Dy 3.21-3.52

No. 3
CaGdErTl after structural relaxation, computed with PBE.

Calculated values
ΔE_f = -1.0 kcal/mol of atoms
space group = F-43m, No. 216
DFT total energy = -5.794 eV/atom
total magnetic moment = 7.6 μB/f.u.

Unit cell a=5.5173 b=5.5173 c=5.5173 alpha=60.00 beta=60.00 gamma=60.00
With the nearest neighbours (Å) after each atom.
Element x y z (fractional)
Gd1 0.7500 0.7500 0.7500  4 Ca 3.38, 4 Tl 3.38
Ca1 0.5000 0.5000 0.5000  4 Gd 3.38, 4 Er 3.38
Er1 0.2500 0.2500 0.2500  4 Ca 3.38, 4 Tl 3.38
Tl1 0.0000 0.0000 0.0000  4 Er 3.38, 4 Gd 3.38

No. 4
HgTe2Se after structural relaxation, computed with PBE.

Calculated values
space group = P4mm, No. 99
DFT total energy = -2.222 eV/atom
total magnetic moment = 0.0 μB/f.u.
formation energy without anion corrections = 295 meV per atom

Unit cell a=3.7227 b=3.7227 c=7.5564 alpha=90.00 beta=90.00 gamma=90.00
With the nearest neighbours (Å) after each atom.
Element x y z (fractional)
Hg1 0.0000 0.0000 0.5239  4 Se 3.15, 4 Te 3.43
Te1 0.5000 0.5000 0.2319  4 Te 3.20, 4 Hg 3.43
Te2 0.0000 0.0000 0.9921  4 Te 3.20, 4 Se 3.20, 1 Hg 3.54
Se1 0.5000 0.5000 0.7521  4 Hg 3.15, 4 Te 3.20

No. 5
SmRh3Pb3 after structural relaxation, computed with PBE.

Calculated values
ΔE_f = 7.9 kcal/mol of atoms
space group = Pm-3n, No. 223
DFT total energy = -5.073 eV/atom
total magnetic moment = 0.0 μB/f.u.

Unit cell a=7.3439 b=7.3439 c=7.3439 alpha=90.00 beta=90.00 gamma=90.00
With the nearest neighbours (Å) after each atom.
Element x y z (fractional)
Pb1 0.0000 0.5000 0.7500  4 Rh 2.60
Pb2 0.0000 0.5000 0.2500  4 Rh 2.60
Pb3 0.5000 0.7500 0.0000  4 Rh 2.60
Pb4 0.5000 0.2500 0.0000  4 Rh 2.60
Pb5 0.7500 0.0000 0.5000  4 Rh 2.60
Pb6 0.2500 0.0000 0.5000  4 Rh 2.60
Sm1 0.5000 0.5000 0.5000  12 Pb 4.11, 12 Rh 4.11
Sm2 0.0000 0.0000 0.0000  12 Pb 4.11, 12 Rh 4.11
Rh1 0.0000 0.7500 0.5000  4 Pb 2.60
Rh2 0.7500 0.5000 0.0000  4 Pb 2.60
Rh3 0.2500 0.5000 0.0000  4 Pb 2.60
Rh4 0.5000 0.0000 0.7500  4 Pb 2.60
Rh5 0.0000 0.2500 0.5000  4 Pb 2.60
Rh6 0.5000 0.0000 0.2500  4 Pb 2.60

No. 6
Tm2In2BRh4 after structural relaxation, computed with PBE.

Calculated values
ΔE_f = -12.9 kcal/mol of atoms
space group = I4/mmm, No. 139
DFT total energy = -6.170 eV/atom
total magnetic moment = 0.0 μB/f.u.

Unit cell a=6.0199 b=6.0199 c=6.0199 alpha=92.21 beta=118.73 gamma=118.73
With the nearest neighbours (Å) after each atom.
Element x y z (fractional)
B1 0.0000 0.0000 0.0000  4 Rh 2.08
Rh1 0.0000 0.2393 0.7607  1 B 2.08
Rh2 0.5214 0.7607 0.7607  1 B 2.08
Rh3 0.0000 0.7607 0.2393  1 B 2.08
Rh4 0.4786 0.2393 0.2393  1 B 2.08
Tm1 0.0000 0.2970 0.2970  1 B 2.48
Tm2 0.0000 0.7030 0.7030  1 B 2.48
In1 0.5000 0.7500 0.2500  8 Rh 3.01, 4 Tm 3.09
In2 0.5000 0.2500 0.7500  8 Rh 3.01, 4 Tm 3.09

No. 7
CdIrSe2 after structural relaxation, computed with PBE.

Calculated values
space group = Pmm2, No. 25
DFT total energy = -4.246 eV/atom
total magnetic moment = 0.0 μB/f.u.
formation energy without anion corrections = -60 meV per atom

Unit cell a=4.5645 b=4.3770 c=5.0194 alpha=89.96 beta=90.00 gamma=90.00
With the nearest neighbours (Å) after each atom.
Element x y z (fractional)
Cd1 0.0000 0.3756 0.4975  4 Se 2.72-2.74
Ir1 0.5000 0.8747 0.9875  4 Se 2.42-2.43
Se1 0.0000 0.8751 0.8196  2 Ir 2.43, 2 Cd 2.72
Se2 0.5000 0.3746 0.1953  2 Ir 2.42

No. 8
CeLu2Be after structural relaxation, computed with PBE.

Calculated values
ΔE_f = 15.6 kcal/mol of atoms
space group = R-3m, No. 166
DFT total energy = -3.999 eV/atom
total magnetic moment = 0.1 μB/f.u.

Unit cell a=3.3265 b=3.3265 c=11.2224 alpha=81.48 beta=81.48 gamma=60.00
With the nearest neighbours (Å) after each atom.
Element x y z (fractional)
Lu1 0.0845 0.0845 0.7465  1 Be 2.80
Lu2 0.9155 0.9155 0.2535  1 Be 2.80
Be1 0.0000 0.0000 0.0000  2 Lu 2.80
Ce1 0.5000 0.5000 0.5000  6 Ce 3.33, 6 Lu 3.33

No. 9
Pu2GaGePd6 after structural relaxation, computed with PBE.

Calculated values
ΔE_f = -11.0 kcal/mol of atoms
space group = Pmmn, No. 59
DFT total energy = -7.223 eV/atom
total magnetic moment = 10.8 μB/f.u.

Unit cell a=5.5427 b=8.3445 c=8.6692 alpha=90.00 beta=90.00 gamma=90.00
With the nearest neighbours (Å) after each atom.
Element x y z (fractional)
Pd1 0.5000 0.1047 0.7500  1 Ge 2.49, 1 Ga 2.53, 4 Pd 2.71-2.73
Pd2 0.7485 0.5074 0.0000  1 Ge 2.44, 1 Ga 2.47
Pd3 0.7510 0.9973 0.5000  1 Ge 2.54, 1 Ga 2.56, 6 Pd 2.71-2.78
Pd4 0.2490 0.9973 0.5000  1 Ge 2.54, 1 Ga 2.56, 6 Pd 2.71-2.78
Pd5 0.7515 0.4926 0.5000  1 Ge 2.44, 1 Ga 2.47
Pd6 0.5000 0.1047 0.2500  1 Ge 2.49, 1 Ga 2.53, 4 Pd 2.71-2.73
Pd7 0.0000 0.8953 0.2500  1 Ge 2.49, 1 Ga 2.53, 4 Pd 2.71-2.73
Pd8 0.2485 0.4926 0.5000  1 Ge 2.44, 1 Ga 2.47
Pd9 0.2510 0.0027 0.0000  1 Ge 2.54, 1 Ga 2.56, 6 Pd 2.71-2.78
Pd10 0.0000 0.8953 0.7500  1 Ge 2.49, 1 Ga 2.53, 4 Pd 2.71-2.73
Pd11 0.2515 0.5074 0.0000  1 Ge 2.44, 1 Ga 2.47
Pd12 0.7490 0.0027 0.0000  1 Ge 2.54, 1 Ga 2.56, 6 Pd 2.71-2.78
Pu1 0.0000 0.2700 0.7517  11 Pd 3.10-3.44
Pu2 0.5000 0.7300 0.7483  11 Pd 3.10-3.44
Pu3 0.5000 0.7300 0.2517  11 Pd 3.10-3.44
Pu4 0.0000 0.2700 0.2483  11 Pd 3.10-3.44
Ga1 0.0000 0.7384 0.5000  6 Pd 2.47-2.56
Ga2 0.5000 0.2616 0.0000  6 Pd 2.47-2.56
Ge1 0.0000 0.7477 0.0000  6 Pd 2.44-2.54
Ge2 0.5000 0.2523 0.5000  6 Pd 2.44-2.54

No. 10
GePPtF2 after structural relaxation, computed with PBE.

Calculated values
space group = P4/mmm, No. 123
DFT total energy = -4.723 eV/atom
total magnetic moment = 0.9 μB/f.u.
formation energy without anion corrections = -761 meV per atom

Unit cell a=3.8321 b=5.3089 c=3.8321 alpha=90.00 beta=90.00 gamma=90.00
With the nearest neighbours (Å) after each atom.
Element x y z (fractional)
P1 0.5000 0.5000 0.5000  4 Pt 2.71
Ge1 0.0000 0.0000 0.0000  4 F 1.92
F1 0.5000 0.0000 0.0000  2 Ge 1.92
F2 0.0000 0.0000 0.5000  2 Ge 1.92
Pt1 0.0000 0.5000 0.0000  2 Ge 2.65, 4 P 2.71

No. 11
Nd2GdY after structural relaxation, computed with PBE.

Calculated values
ΔE_f = 0.3 kcal/mol of atoms
space group = P4/mmm, No. 123
DFT total energy = -7.505 eV/atom
total magnetic moment = 7.3 μB/f.u.

Unit cell a=3.6426 b=3.6426 c=10.2054 alpha=90.00 beta=90.00 gamma=90.00
With the nearest neighbours (Å) after each atom.
Element x y z (fractional)
Nd1 0.0000 0.0000 0.7492  4 Y 3.62, 4 Gd 3.63, 4 Nd 3.64
Nd2 0.0000 0.0000 0.2508  4 Y 3.62, 4 Gd 3.63, 4 Nd 3.64
Gd1 0.5000 0.5000 0.0000  8 Nd 3.63, 4 Gd 3.64
Y1 0.5000 0.5000 0.5000  8 Nd 3.62, 4 Y 3.64

No. 12
HfScCl6 after structural relaxation, computed with PBE.

Calculated values
space group = C2/m, No. 12
DFT total energy = -5.271 eV/atom
total magnetic moment = 0.0 μB/f.u.
formation energy without anion corrections = -1850 meV per atom

Unit cell a=6.1800 b=6.1806 c=7.1510 alpha=64.40 beta=81.73 gamma=70.57
With the nearest neighbours (Å) after each atom.
Element x y z (fractional)
Cl1 0.7448 0.7453 0.0000  1 Hf 2.47, 1 Sc 2.57
Cl2 0.7470 0.1161 0.2746  1 Hf 2.50, 1 Sc 2.53
Cl3 0.2530 0.6093 0.2746  1 Hf 2.50, 1 Sc 2.53
Cl4 0.2552 0.2547 0.0000  1 Hf 2.47, 1 Sc 2.57
Cl5 0.2530 0.8839 0.7254  1 Hf 2.50, 1 Sc 2.53
Cl6 0.7470 0.3907 0.7254  1 Hf 2.50, 1 Sc 2.53
Hf1 0.5000 0.5000 0.0000  6 Cl 2.47-2.50
Sc1 0.0000 0.0000 0.0000  6 Cl 2.53-2.57